{
  "formula": "Ac4AlIn",
  "functional": "PBE",
  "state": "relaxed",
  "e_above_lowest_polymorph_ev_per_atom": 0.000,
  "dos_ef_per_ev_atom": 1.55,
  "ef_ev_per_atom": -0.181,
  "spacegroup": "F-43m (216)",
  "m_tot_mub_per_fu": 0.0,
  "cell": [[-3.207, 7.905, 6.704], [-5.482, -2.444, 9.039], [4.736, 1.146, 9.695]],
  "species": ["Al", "Al", "Al", "Al", "Ac", "Ac", "Ac", "Ac", "Ac", "Ac", "Ac", "Ac", "Ac", "Ac", "Ac", "Ac", "Ac", "Ac", "Ac", "Ac", "In", "In", "In", "In"],
  "frac_coords": [[0.144, 0.144, 0.568], [0.144, 0.568, 0.144], [0.568, 0.144, 0.144], [0.144, 0.144, 0.144], [0.197, 0.803, 0.197], [0.937, 0.563, 0.563], [0.197, 0.197, 0.803], [0.918, 0.361, 0.361], [0.361, 0.918, 0.361], [0.937, 0.563, 0.937], [0.803, 0.197, 0.803], [0.563, 0.563, 0.937], [0.937, 0.937, 0.563], [0.563, 0.937, 0.937], [0.361, 0.361, 0.918], [0.563, 0.937, 0.563], [0.361, 0.361, 0.361], [0.803, 0.197, 0.197], [0.803, 0.803, 0.197], [0.197, 0.803, 0.803], [0.580, 0.259, 0.580], [0.580, 0.580, 0.580], [0.580, 0.580, 0.259], [0.259, 0.580, 0.580]]
}

{
  "formula": "Ac3Al2In4",
  "functional": "PBE",
  "state": "relaxed",
  "e_above_lowest_polymorph_ev_per_atom": 0.000,
  "dos_ef_per_ev_atom": 0.52,
  "ef_ev_per_atom": -0.432,
  "spacegroup": "C2/m (12)",
  "m_tot_mub_per_fu": 0.0,
  "cell": [[4.739, 0.000, 0.000], [-2.369, 6.158, -1.062], [0.000, -0.223, 9.473]],
  "species": ["Al", "Al", "In", "In", "In", "In", "Ac", "Ac", "Ac"],
  "frac_coords": [[0.390, 0.779, 0.720], [0.610, 0.221, 0.280], [0.280, 0.560, 0.937], [0.943, 0.886, 0.616], [0.720, 0.440, 0.063], [0.057, 0.114, 0.384], [0.666, 0.333, 0.664], [0.000, 0.000, 0.000], [0.334, 0.667, 0.336]]
}

{
  "formula": "Ac12Al2In5",
  "functional": "PBE",
  "state": "relaxed",
  "dos_ef_per_ev_atom": 1.04,
  "ef_ev_per_atom": -0.122,
  "spacegroup": "C2/m (12)",
  "m_tot_mub_per_fu": 0.0,
  "cell": [[-4.936, 6.937, 0.509], [-3.228, -7.123, -5.687], [-5.233, -4.252, 7.211]],
  "species": ["Al", "Al", "Ac", "Ac", "Ac", "Ac", "Ac", "Ac", "Ac", "Ac", "Ac", "Ac", "Ac", "Ac", "In", "In", "In", "In", "In"],
  "frac_coords": [[0.667, 0.000, 0.000], [0.333, 0.000, 0.000], [0.952, 0.904, 0.173], [0.593, 0.712, 0.447], [0.042, 0.658, 0.873], [0.533, 0.066, 0.299], [0.958, 0.342, 0.127], [0.407, 0.288, 0.553], [0.048, 0.096, 0.827], [0.385, 0.342, 0.127], [0.881, 0.288, 0.553], [0.615, 0.658, 0.873], [0.467, 0.934, 0.701], [0.119, 0.712, 0.447], [0.256, 0.512, 0.698], [0.357, 0.715, 0.132], [0.000, 0.000, 0.500], [0.744, 0.488, 0.302], [0.643, 0.285, 0.868]]
}

{
  "formula": "Ac6Al2In",
  "functional": "PBE",
  "state": "relaxed",
  "dos_ef_per_ev_atom": 1.16,
  "ef_ev_per_atom": -0.212,
  "spacegroup": "Immm (71)",
  "m_tot_mub_per_fu": 0.0,
  "cell": [[-6.493, 1.286, 6.938], [-3.188, -6.209, -6.576], [8.135, -3.755, 3.416]],
  "species": ["Ac", "Ac", "Ac", "Ac", "Ac", "Ac", "Ac", "Ac", "Ac", "Ac", "Ac", "Ac", "Al", "Al", "Al", "Al", "In", "In"],
  "frac_coords": [[0.545, 0.726, 0.819], [0.708, 0.031, 0.323], [0.799, 0.243, 0.042], [0.292, 0.969, 0.677], [0.708, 0.384, 0.677], [0.093, 0.274, 0.819], [0.292, 0.616, 0.323], [0.201, 0.243, 0.444], [0.201, 0.757, 0.958], [0.799, 0.757, 0.556], [0.907, 0.726, 0.181], [0.455, 0.274, 0.181], [0.500, 0.385, 0.885], [0.635, 0.000, 0.635], [0.500, 0.615, 0.115], [0.365, 0.000, 0.365], [0.000, 0.000, 0.000], [0.000, 0.500, 0.500]]
}